(1)
The following is a DFT calculation (PBE) of a relaxed Cs2InSbH crystal.

Lattice parameters (Å, degrees): 4.788 7.603 12.387 115.41 90.00 90.00
Element x y z (fractional)
In: 0.750 0.371 0.205
H: 0.250 0.797 0.718
Cs: 0.750 0.784 0.090
In: 0.250 0.629 0.795
H: 0.750 0.203 0.282
Cs: 0.250 0.216 0.910
Sb: 0.750 0.391 0.720
Sb: 0.250 0.609 0.280
Cs: 0.250 0.209 0.428
Cs: 0.750 0.791 0.572

Properties
Total energy   -2.647 eV/atom
Magnetization   0.001 Bohr magnetons per cell

***

(2)
The following is a DFT calculation (PBE) of a relaxed CsInTcH6 crystal.

Lattice parameters (Å, degrees): 4.975 4.974 6.393 92.52 92.47 59.36
Element x y z (fractional)
Tc: 0.335 0.335 0.511
H: 0.481 0.087 0.305
H: 0.142 0.142 0.494
H: 0.265 0.267 0.756
Cs: 0.003 0.003 0.030
H: 0.492 0.491 0.703
In: 0.701 0.701 0.544
H: 0.495 0.493 0.351
H: 0.087 0.481 0.305

Properties
Total energy   -3.862 eV/atom
Magnetization   0.000 Bohr magnetons per cell

***

(3)
The following is a DFT calculation (PBE) of a relaxed CsTlInH crystal.

Lattice parameters (Å, degrees): 3.827 5.069 7.291 69.77 89.98 90.00
Element x y z (fractional)
In: 0.493 0.828 0.195
Tl: 0.990 0.391 0.069
Cs: 0.996 0.119 0.612
H: 0.495 0.962 0.919

Properties
Total energy   -2.277 eV/atom
Magnetization   0.000 Bohr magnetons per cell

***

Which of these has the lowest total energy? CsInTcH6

***

Among the records above, which one has the highest total energy? CsTlInH

***

What did the third record say?
The following is a DFT calculation (PBE) of a relaxed CsTlInH crystal.

Lattice parameters (Å, degrees): 3.827 5.069 7.291 69.77 89.98 90.00
Element x y z (fractional)
In: 0.493 0.828 0.195
Tl: 0.990 0.391 0.069
Cs: 0.996 0.119 0.612
H: 0.495 0.962 0.919

Properties
Total energy   -2.277 eV/atom
Magnetization   0.000 Bohr magnetons per cell